The following is a DFT calculation (PBE) of a relaxed Ho4ScPb5 crystal.

## Properties
DFT formation energy   -0.278 eV per atom

Lattice parameters (Å, degrees): 9.8241 9.8241 6.2269 90.00 90.00 90.00
Closest atoms and distances in Å follow each position.
Space group I4 (No. 79)
Asymmetric unit:
Ho1 0.0938 0.6961 0.0000  6 Pb 3.12-3.14
Sc1 0.0000 0.0000 0.5116  6 Pb 3.01-3.12
Pb1 0.0000 0.0000 0.0128  2 Sc 3.11-3.12, 4 Ho 3.13
Pb2 0.1010 0.7113 0.4999  1 Sc 3.01, 5 Ho 3.12-3.14

The following is a DFT calculation (PBE) of a relaxed HoScPb crystal.

## Properties
ΔE to the lowest computed polymorph   0.000 eV/atom
DFT formation energy   -0.444 eV per atom

Lattice parameters (Å, degrees): 4.4405 4.4405 8.2246 90.00 90.00 90.00
Closest atoms and distances in Å follow each position.
Space group P4/nmm (No. 129, origin choice 2)
Asymmetric unit:
Ho1 0.2500 0.2500 0.1600  5 Pb 3.19-3.21, 4 Sc 3.57
Sc1 0.2500 0.7500 0.5000  4 Pb 3.14, 4 Sc 3.14
Pb1 0.2500 0.2500 0.7699  4 Sc 3.14, 5 Ho 3.19-3.21